First-principles (PBE+U) data for a geometry-optimized MgVGe2O structure, as listed in Alexandria via LeMat-Bulk.

Output
VASP energy (eV per atom): -3.2580
Total moment (μB per cell): 2.74
D(E_F) (states/eV per atom): 0.57
Space group: P4/mmm

Structure (extended XYZ):
```
5
Lattice="4.8079 0.0000 0.0000 0.0000 4.8079 0.0000 0.0000 0.0000 5.4184" Properties=species:S:1:pos:R:3 pbc="T T T"
Mg 0.0000 0.0000 0.0000
V 0.0000 0.0000 2.7092
Ge 0.0000 2.4039 0.0000
Ge 2.4039 0.0000 0.0000
O 2.4039 2.4039 2.7092
```